Version i
A plane-wave DFT calculation with GGA-PBE was carried out for an optimized crystal structure of La3NiIr.

Cell lengths 4.307, 10.769, 7.605 Å; angles 61.33, 73.55, 78.46 degrees
Sites, in units of the cell vectors:
1 La 0.039 0.197 0.726
2 La 0.358 0.504 0.779
3 La 0.313 0.126 0.247
4 La 0.961 0.803 0.274
5 La 0.687 0.874 0.753
6 La 0.642 0.496 0.221
7 Ir 0.163 0.688 0.985
8 Ir 0.837 0.312 0.015
9 Ni 0.674 0.187 0.465
10 Ni 0.326 0.813 0.535

Version ii
A plane-wave DFT calculation with GGA-PBE was carried out for an optimized crystal structure of La3NiIr.

Cell lengths 5.567, 5.567, 5.567 Å; angles 90.00, 90.00, 90.00 degrees
Sites, in units of the cell vectors:
1 Ni 0.500 0.500 0.500
2 La 0.500 0.000 0.000
3 La 0.000 0.500 0.000
4 La 0.000 0.000 0.500
5 Ir 0.000 0.000 0.000

Tell me which of them is the least stable. Sure, it is version ii.